(1)
DFT (GGA-PBE) results for Zn4Ag4Au5 after structural relaxation.

The density of states at the Fermi level comes out at 0.35 states/eV per atom. The calculation puts the formation energy at -0.13 eV per atom.

It has space group I4/m (No. 87), with a = 10.202 Å, b = 10.202 Å, c = 4.236 Å, α = 90.00°, β = 90.00° and γ = 90.00°. The asymmetric unit holds Zn at (0.134, 0.231, 0.000), Ag at (0.090, 0.613, 0.000), Au at (0.000, 0.000, 0.000) and Au at (0.071, 0.807, 0.500).



(2)
DFT (GGA-PBE) results for ZnAg2Au4 after structural relaxation.

The density of states at the Fermi level comes out at 0.28 states/eV per atom. The calculation puts the formation energy at -0.05 eV per atom.

It has space group Cmmm (No. 65), with a = 2.941 Å, b = 29.088 Å, c = 2.908 Å, α = 90.00°, β = 90.00° and γ = 90.00°. The asymmetric unit holds Zn at (0.000, 0.000, 0.000), Ag at (0.000, 0.292, 0.500), Au at (0.000, 0.137, 0.000) and Au at (0.000, 0.438, 0.500).



Which of these has the lowest density of states at the Fermi level? ZnAg2Au4



What is the density of states at the Fermi level in the first record? 0.35 states/eV per atom



Which of these has the highest density of states at the Fermi level? Zn4Ag4Au5



Among the records above, which one has the highest density of states at the Fermi level? Zn4Ag4Au5